[1]
# Dy2Tm7, optimized geometry, DFT PBE
# * energy of formation from the pure elements: 0.03 eV/atom
data_Dy2Tm7
_cell_length_a 6.052
_cell_length_b 6.052
_cell_length_c 8.564
_cell_angle_alpha 90.00
_cell_angle_beta 90.00
_cell_angle_gamma 120.00
_symmetry_space_group_name_H-M 'P 1'
_symmetry_Int_Tables_number 1
loop_
_symmetry_equiv_pos_as_xyz
'x,y,z'
loop_
_atom_site_label
_atom_site_type_symbol
_atom_site_fract_x
_atom_site_fract_y
_atom_site_fract_z
Tm1 Tm 0.667 0.667 0.666
Tm2 Tm 0.333 0.333 0.334
Tm3 Tm 0.667 0.000 0.334
Tm4 Tm 0.000 0.000 0.000
Tm5 Tm 0.000 0.333 0.666
Dy1 Dy 0.667 0.333 0.000
Dy2 Dy 0.333 0.667 0.000
Tm6 Tm 0.333 0.000 0.666
Tm7 Tm 0.000 0.667 0.334



[2]
# SrCdAs, optimized geometry, DFT PBE
# * energy of formation from the pure elements: -0.61 eV/atom
data_SrCdAs
_cell_length_a 4.553
_cell_length_b 4.553
_cell_length_c 4.751
_cell_angle_alpha 90.00
_cell_angle_beta 90.00
_cell_angle_gamma 120.00
_symmetry_space_group_name_H-M 'P 1'
_symmetry_Int_Tables_number 1
loop_
_symmetry_equiv_pos_as_xyz
'x,y,z'
loop_
_atom_site_label
_atom_site_type_symbol
_atom_site_fract_x
_atom_site_fract_y
_atom_site_fract_z
Cd1 Cd 0.667 0.333 0.236
Sr1 Sr 0.333 0.667 0.681
As1 As 0.000 0.000 0.082



[3]
# Sr2Sn2Au3, optimized geometry, DFT PBE
# * energy of formation from the pure elements: -0.63 eV/atom
data_Sr2Sn2Au3
_cell_length_a 4.467
_cell_length_b 8.038
_cell_length_c 10.701
_cell_angle_alpha 90.00
_cell_angle_beta 102.05
_cell_angle_gamma 90.00
_symmetry_space_group_name_H-M 'P 1'
_symmetry_Int_Tables_number 1
loop_
_symmetry_equiv_pos_as_xyz
'x,y,z'
loop_
_atom_site_label
_atom_site_type_symbol
_atom_site_fract_x
_atom_site_fract_y
_atom_site_fract_z
Au1 Au 0.441 0.572 0.882
Sn1 Sn 0.686 0.553 0.372
Au2 Au 0.559 0.428 0.118
Au3 Au 0.559 0.072 0.118
Sn2 Sn 0.314 0.447 0.628
Sr1 Sr 0.051 0.750 0.101
Sn3 Sn 0.314 0.053 0.628
Sr2 Sr 0.949 0.250 0.899
Sn4 Sn 0.686 0.947 0.372
Au4 Au 0.780 0.250 0.559
Au5 Au 0.220 0.750 0.441
Sr3 Sr 0.848 0.750 0.697
Au6 Au 0.441 0.928 0.882
Sr4 Sr 0.152 0.250 0.303



[4]
# Y3NpPt12, optimized geometry, DFT PBE
# * energy of formation from the pure elements: -0.91 eV/atom
data_Y3NpPt12
_cell_length_a 4.135
_cell_length_b 4.135
_cell_length_c 16.511
_cell_angle_alpha 90.00
_cell_angle_beta 90.00
_cell_angle_gamma 90.00
_symmetry_space_group_name_H-M 'P 1'
_symmetry_Int_Tables_number 1
loop_
_symmetry_equiv_pos_as_xyz
'x,y,z'
loop_
_atom_site_label
_atom_site_type_symbol
_atom_site_fract_x
_atom_site_fract_y
_atom_site_fract_z
Np1 Np 0.000 0.000 0.000
Pt1 Pt 0.500 0.000 0.375
Pt2 Pt 0.500 0.000 0.625
Y1 Y 0.000 0.000 0.252
Pt3 Pt 0.000 0.500 0.625
Y2 Y 0.000 0.000 0.500
Pt4 Pt 0.000 0.500 0.877
Y3 Y 0.000 0.000 0.748
Pt5 Pt 0.000 0.500 0.375
Pt6 Pt 0.500 0.000 0.123
Pt7 Pt 0.000 0.500 0.123
Pt8 Pt 0.500 0.500 0.500
Pt9 Pt 0.500 0.000 0.877
Pt10 Pt 0.500 0.500 0.250
Pt11 Pt 0.500 0.500 0.750
Pt12 Pt 0.500 0.500 0.000



[5]
# YSe2Br, optimized geometry, DFT PBE
# * energy relative to the elements, uncorrected: -5.001 eV per formula unit
data_YSe2Br
_cell_length_a 7.320
_cell_length_b 7.320
_cell_length_c 4.837
_cell_angle_alpha 82.43
_cell_angle_beta 82.43
_cell_angle_gamma 30.48
_symmetry_space_group_name_H-M 'P 1'
_symmetry_Int_Tables_number 1
loop_
_symmetry_equiv_pos_as_xyz
'x,y,z'
loop_
_atom_site_label
_atom_site_type_symbol
_atom_site_fract_x
_atom_site_fract_y
_atom_site_fract_z
Br1 Br 0.847 0.847 0.662
Se1 Se 0.010 0.010 0.025
Y1 Y 0.501 0.501 0.516
Se2 Se 0.142 0.142 0.297



[6]
# LiZnSeCl, optimized geometry, DFT PBE
# * energy relative to the elements, uncorrected: -4.798 eV per formula unit
data_LiZnSeCl
_cell_length_a 4.026
_cell_length_b 4.026
_cell_length_c 6.961
_cell_angle_alpha 90.00
_cell_angle_beta 106.81
_cell_angle_gamma 120.00
_symmetry_space_group_name_H-M 'P 1'
_symmetry_Int_Tables_number 1
loop_
_symmetry_equiv_pos_as_xyz
'x,y,z'
loop_
_atom_site_label
_atom_site_type_symbol
_atom_site_fract_x
_atom_site_fract_y
_atom_site_fract_z
Li1 Li 0.463 0.616 0.079
Se1 Se 0.200 0.484 0.684
Zn1 Zn 0.459 0.114 0.574
Cl1 Cl 0.206 0.987 0.193



[7]
# CaBeTl, optimized geometry, DFT PBE
# * energy of formation from the pure elements: 0.70 eV/atom
data_CaBeTl
_cell_length_a 4.965
_cell_length_b 4.965
_cell_length_c 4.965
_cell_angle_alpha 60.00
_cell_angle_beta 60.00
_cell_angle_gamma 60.00
_symmetry_space_group_name_H-M 'P 1'
_symmetry_Int_Tables_number 1
loop_
_symmetry_equiv_pos_as_xyz
'x,y,z'
loop_
_atom_site_label
_atom_site_type_symbol
_atom_site_fract_x
_atom_site_fract_y
_atom_site_fract_z
Be1 Be 0.500 0.500 0.500
Tl1 Tl 0.000 0.000 0.000
Ca1 Ca 0.750 0.750 0.750



[8]
# Rb3CeAg2Cl9, optimized geometry, DFT PBE
# * energy relative to the elements, uncorrected: -23.554 eV per formula unit
data_Rb3CeAg2Cl9
_cell_length_a 7.572
_cell_length_b 7.572
_cell_length_c 9.514
_cell_angle_alpha 90.00
_cell_angle_beta 90.00
_cell_angle_gamma 120.00
_symmetry_space_group_name_H-M 'P 1'
_symmetry_Int_Tables_number 1
loop_
_symmetry_equiv_pos_as_xyz
'x,y,z'
loop_
_atom_site_label
_atom_site_type_symbol
_atom_site_fract_x
_atom_site_fract_y
_atom_site_fract_z
Ag1 Ag 0.667 0.333 0.845
Cl1 Cl 0.328 0.164 0.664
Cl2 Cl 0.500 0.000 0.000
Rb1 Rb 0.000 0.000 0.000
Cl3 Cl 0.164 0.836 0.336
Cl4 Cl 0.500 0.500 0.000
Cl5 Cl 0.672 0.836 0.336
Cl6 Cl 0.836 0.672 0.664
Cl7 Cl 0.164 0.328 0.336
Ce1 Ce 0.000 0.000 0.500
Ag2 Ag 0.333 0.667 0.155
Rb2 Rb 0.333 0.667 0.732
Cl8 Cl 0.000 0.500 0.000
Rb3 Rb 0.667 0.333 0.268
Cl9 Cl 0.836 0.164 0.664



Repeat the eighth record exactly.
# Rb3CeAg2Cl9, optimized geometry, DFT PBE
# * energy relative to the elements, uncorrected: -23.554 eV per formula unit
data_Rb3CeAg2Cl9
_cell_length_a 7.572
_cell_length_b 7.572
_cell_length_c 9.514
_cell_angle_alpha 90.00
_cell_angle_beta 90.00
_cell_angle_gamma 120.00
_symmetry_space_group_name_H-M 'P 1'
_symmetry_Int_Tables_number 1
loop_
_symmetry_equiv_pos_as_xyz
'x,y,z'
loop_
_atom_site_label
_atom_site_type_symbol
_atom_site_fract_x
_atom_site_fract_y
_atom_site_fract_z
Ag1 Ag 0.667 0.333 0.845
Cl1 Cl 0.328 0.164 0.664
Cl2 Cl 0.500 0.000 0.000
Rb1 Rb 0.000 0.000 0.000
Cl3 Cl 0.164 0.836 0.336
Cl4 Cl 0.500 0.500 0.000
Cl5 Cl 0.672 0.836 0.336
Cl6 Cl 0.836 0.672 0.664
Cl7 Cl 0.164 0.328 0.336
Ce1 Ce 0.000 0.000 0.500
Ag2 Ag 0.333 0.667 0.155
Rb2 Rb 0.333 0.667 0.732
Cl8 Cl 0.000 0.500 0.000
Rb3 Rb 0.667 0.333 0.268
Cl9 Cl 0.836 0.164 0.664



Repeat the sixth record exactly.
# LiZnSeCl, optimized geometry, DFT PBE
# * energy relative to the elements, uncorrected: -4.798 eV per formula unit
data_LiZnSeCl
_cell_length_a 4.026
_cell_length_b 4.026
_cell_length_c 6.961
_cell_angle_alpha 90.00
_cell_angle_beta 106.81
_cell_angle_gamma 120.00
_symmetry_space_group_name_H-M 'P 1'
_symmetry_Int_Tables_number 1
loop_
_symmetry_equiv_pos_as_xyz
'x,y,z'
loop_
_atom_site_label
_atom_site_type_symbol
_atom_site_fract_x
_atom_site_fract_y
_atom_site_fract_z
Li1 Li 0.463 0.616 0.079
Se1 Se 0.200 0.484 0.684
Zn1 Zn 0.459 0.114 0.574
Cl1 Cl 0.206 0.987 0.193



What did the third record say?
# Sr2Sn2Au3, optimized geometry, DFT PBE
# * energy of formation from the pure elements: -0.63 eV/atom
data_Sr2Sn2Au3
_cell_length_a 4.467
_cell_length_b 8.038
_cell_length_c 10.701
_cell_angle_alpha 90.00
_cell_angle_beta 102.05
_cell_angle_gamma 90.00
_symmetry_space_group_name_H-M 'P 1'
_symmetry_Int_Tables_number 1
loop_
_symmetry_equiv_pos_as_xyz
'x,y,z'
loop_
_atom_site_label
_atom_site_type_symbol
_atom_site_fract_x
_atom_site_fract_y
_atom_site_fract_z
Au1 Au 0.441 0.572 0.882
Sn1 Sn 0.686 0.553 0.372
Au2 Au 0.559 0.428 0.118
Au3 Au 0.559 0.072 0.118
Sn2 Sn 0.314 0.447 0.628
Sr1 Sr 0.051 0.750 0.101
Sn3 Sn 0.314 0.053 0.628
Sr2 Sr 0.949 0.250 0.899
Sn4 Sn 0.686 0.947 0.372
Au4 Au 0.780 0.250 0.559
Au5 Au 0.220 0.750 0.441
Sr3 Sr 0.848 0.750 0.697
Au6 Au 0.441 0.928 0.882
Sr4 Sr 0.152 0.250 0.303